1.
This record from Alexandria via LeMat-Bulk describes an optimized crystal structure of Ta2BeAl. The functional is PBE-GGA.

Summary:
total magnetization = 0.0 μB/f.u.
formation energy from the elements = -0.046 eV/atom

abc: 2.828 3.882 5.613
angles: 90.00 94.42 90.00
Sites, in units of the cell vectors:
Ta 0.021 0.000 0.259
Ta 0.979 0.000 0.741
Be 0.500 0.500 0.500
Al 0.500 0.500 0.000

2.
This record from Alexandria via LeMat-Bulk describes an optimized crystal structure of CeDyTh. The functional is PBE-GGA.

Summary:
total magnetization = 0.0 μB/f.u.
formation energy from the elements = 0.209 eV/atom

abc: 4.780 21.598 3.669
angles: 90.00 90.00 90.00
Sites, in units of the cell vectors:
Ce 0.000 0.046 0.250
Ce 0.000 0.954 0.750
Ce 0.500 0.454 0.750
Ce 0.500 0.546 0.250
Dy 0.000 0.377 0.250
Dy 0.000 0.623 0.750
Dy 0.500 0.123 0.750
Dy 0.500 0.877 0.250
Th 0.000 0.210 0.250
Th 0.000 0.790 0.750
Th 0.500 0.290 0.750
Th 0.500 0.710 0.250

3.
This record from Alexandria via LeMat-Bulk describes an optimized crystal structure of Ca2TiS2. The functional is PBE-GGA.

Summary:
formation energy without anion corrections = -55.0 kJ/mol of atoms
total magnetization = 3.3 μB/f.u.

abc: 5.189 5.189 10.403
angles: 90.00 90.00 90.00
Sites, in units of the cell vectors:
Ca 0.000 0.000 0.177
Ca 0.000 0.000 0.823
Ca 0.500 0.500 0.323
Ca 0.500 0.500 0.677
Ti 0.000 0.000 0.500
Ti 0.500 0.500 0.000
S 0.000 0.500 0.250
S 0.000 0.500 0.750
S 0.500 0.000 0.250
S 0.500 0.000 0.750

4.
This record from Alexandria via LeMat-Bulk describes an optimized crystal structure of Pm5U2S12. The functional is PBE-GGA.

Summary:
formation energy without anion corrections = -172.0 kJ/mol of atoms
total magnetization = 3.0 μB/f.u.

abc: 8.595 8.595 9.078
angles: 105.72 105.72 51.49
Sites, in units of the cell vectors:
Pm 0.000 0.000 0.000
Pm 0.294 0.294 0.136
Pm 0.311 0.311 0.677
Pm 0.689 0.689 0.323
Pm 0.706 0.706 0.864
U 0.252 0.748 0.500
U 0.748 0.252 0.500
S 0.005 0.005 0.305
S 0.095 0.555 0.409
S 0.104 0.598 0.934
S 0.402 0.896 0.066
S 0.445 0.905 0.591
S 0.498 0.498 0.286
S 0.502 0.502 0.714
S 0.555 0.095 0.409
S 0.598 0.104 0.934
S 0.896 0.402 0.066
S 0.905 0.445 0.591
S 0.995 0.995 0.695

5.
This record from Alexandria via LeMat-Bulk describes an optimized crystal structure of CdAg2Au. The functional is PBE-GGA.

Summary:
total magnetization = 0.0 μB/f.u.
formation energy from the elements = -0.090 eV/atom

abc: 4.159 4.159 4.294
angles: 90.00 90.00 90.00
Sites, in units of the cell vectors:
Cd 0.000 0.000 0.000
Ag 0.000 0.500 0.500
Ag 0.500 0.000 0.500
Au 0.500 0.500 0.000

6.
This record from Alexandria via LeMat-Bulk describes an optimized crystal structure of LiCd2Pd. The functional is PBE-GGA.

Summary:
total magnetization = 0.0 μB/f.u.
formation energy from the elements = -0.088 eV/atom

abc: 4.045 4.045 19.440
angles: 90.00 90.00 90.00
Sites, in units of the cell vectors:
Li 0.000 0.000 0.000
Li 0.000 0.500 0.250
Li 0.500 0.000 0.750
Li 0.500 0.500 0.500
Cd 0.245 0.250 0.625
Cd 0.250 0.745 0.875
Cd 0.250 0.755 0.375
Cd 0.255 0.250 0.125
Cd 0.745 0.750 0.125
Cd 0.750 0.245 0.375
Cd 0.750 0.255 0.875
Cd 0.755 0.750 0.625
Pd 0.000 0.000 0.500
Pd 0.000 0.500 0.750
Pd 0.500 0.000 0.250
Pd 0.500 0.500 0.000

7.
This record from Alexandria via LeMat-Bulk describes an optimized crystal structure of TbCeIr2. The functional is PBE-GGA.

Summary:
total magnetization = 0.0 μB/f.u.
formation energy from the elements = -0.616 eV/atom

abc: 4.000 4.000 20.024
angles: 90.00 90.00 120.00
Sites, in units of the cell vectors:
Tb 0.000 0.000 0.000
Tb 0.333 0.667 0.667
Tb 0.667 0.333 0.333
Ce 0.000 0.000 0.500
Ce 0.333 0.667 0.167
Ce 0.667 0.333 0.833
Ir 0.000 0.000 0.247
Ir 0.000 0.000 0.753
Ir 0.333 0.667 0.420
Ir 0.333 0.667 0.914
Ir 0.667 0.333 0.086
Ir 0.667 0.333 0.580

8.
This record from Alexandria via LeMat-Bulk describes an optimized crystal structure of LiZr2I. The functional is PBE-GGA.

Summary:
formation energy without anion corrections = 28.3 kJ/mol of atoms
total magnetization = 0.0 μB/f.u.

abc: 7.001 7.001 7.001
angles: 90.00 90.00 90.00
Sites, in units of the cell vectors:
Li 0.000 0.000 0.000
Li 0.000 0.500 0.500
Li 0.500 0.000 0.500
Li 0.500 0.500 0.000
Zr 0.250 0.250 0.250
Zr 0.250 0.250 0.750
Zr 0.250 0.750 0.250
Zr 0.250 0.750 0.750
Zr 0.750 0.250 0.250
Zr 0.750 0.250 0.750
Zr 0.750 0.750 0.250
Zr 0.750 0.750 0.750
I 0.000 0.000 0.500
I 0.000 0.500 0.000
I 0.500 0.000 0.000
I 0.500 0.500 0.500

9.
This record from Alexandria via LeMat-Bulk describes an optimized crystal structure of CuNi2Mo. The functional is PBE-GGA.

Summary:
total magnetization = 0.0 μB/f.u.
formation energy from the elements = 0.583 eV/atom

abc: 6.517 6.517 5.059
angles: 90.00 90.00 90.00
Sites, in units of the cell vectors:
Cu 0.000 0.000 0.000
Cu 0.000 0.500 0.250
Cu 0.500 0.000 0.750
Cu 0.500 0.500 0.500
Ni 0.247 0.250 0.125
Ni 0.250 0.747 0.375
Ni 0.250 0.753 0.875
Ni 0.253 0.250 0.625
Ni 0.747 0.750 0.625
Ni 0.750 0.247 0.875
Ni 0.750 0.253 0.375
Ni 0.753 0.750 0.125
Mo 0.000 0.000 0.500
Mo 0.000 0.500 0.750
Mo 0.500 0.000 0.250
Mo 0.500 0.500 0.000

10.
This record from Alexandria via LeMat-Bulk describes an optimized crystal structure of Er3Si. The functional is PBE-GGA.

Summary:
formation energy without anion corrections = -15.5 kJ/mol of atoms
total magnetization = 0.6 μB/f.u.

abc: 3.899 3.899 15.804
angles: 90.00 90.00 90.00
Sites, in units of the cell vectors:
Er 0.000 0.000 0.000
Er 0.000 0.000 0.323
Er 0.000 0.000 0.677
Er 0.500 0.500 0.177
Er 0.500 0.500 0.500
Er 0.500 0.500 0.823
Si 0.000 0.000 0.500
Si 0.500 0.500 0.000

11.
This record from Alexandria via LeMat-Bulk describes an optimized crystal structure of Tb5PrNd2Tm. The functional is PBE-GGA.

Summary:
total magnetization = 0.0 μB/f.u.
formation energy from the elements = 0.269 eV/atom

abc: 9.960 9.960 9.960
angles: 127.73 127.73 77.07
Sites, in units of the cell vectors:
Tb 0.000 0.000 0.000
Tb 0.072 0.572 0.920
Tb 0.152 0.072 0.500
Tb 0.348 0.848 0.920
Tb 0.428 0.348 0.500
Tb 0.500 0.500 0.000
Tb 0.572 0.652 0.500
Tb 0.652 0.152 0.080
Tb 0.848 0.928 0.500
Tb 0.928 0.428 0.080
Pr 0.250 0.250 0.000
Pr 0.750 0.750 0.000
Nd 0.117 0.383 0.500
Nd 0.383 0.883 0.266
Nd 0.617 0.117 0.734
Nd 0.883 0.617 0.500
Tm 0.250 0.750 0.500
Tm 0.750 0.250 0.500

Number 1: total energy -31.36 eV/f.u.. Number 2: total energy -17.33 eV/f.u.. Number 3: total energy -23.00 eV/f.u.. Number 4: total energy -129.73 eV/f.u.. Number 5: total energy -10.26 eV/f.u.. Number 6: total energy -9.29 eV/f.u.. Number 7: total energy -30.75 eV/f.u.. Number 8: total energy -19.39 eV/f.u.. Number 9: total energy -24.16 eV/f.u.. Number 10: total energy -19.76 eV/f.u.. Number 11: total energy -39.52 eV/f.u..